[1]
AlCr2Co: optimized geometry, GGA-PBEsol.

Unit cell a=2.5316 b=2.5316 c=7.1745 alpha=90.00 beta=90.00 gamma=90.00
Closest atoms and distances in Å follow each position.
Space group P4mm (No. 99)
Asymmetric unit:
Al 0.0000 0.0000 0.0000 (multiplicity 1)  4 Co 2.48, 4 Al 2.53, 4 Cr 2.65
Cr 0.0000 0.0000 0.4581 (multiplicity 1)  4 Co 2.38, 8 Cr 2.53-2.64
Cr 0.5000 0.5000 0.7280 (multiplicity 1)  8 Cr 2.53-2.64, 4 Al 2.65
Co 0.5000 0.5000 0.2394 (multiplicity 1)  4 Cr 2.38, 4 Al 2.48, 4 Co 2.53

Summary:
Mass density, g cm⁻³: 6.9
Crystal system: tetragonal
Energy of formation, kJ/mol of atoms: -2.0
Final energy, eV for the cell shown: -32.4

***

[2]
MoAsPdBr2: optimized geometry, GGA-PBEsol.

Unit cell a=4.9640 b=4.9640 c=4.8202 alpha=90.00 beta=90.00 gamma=90.00
Closest atoms and distances in Å follow each position.
Space group P4/mmm (No. 123)
Asymmetric unit:
Mo 0.0000 0.0000 0.0000 (multiplicity 1)  2 As 2.41, 4 Br 2.48
As 0.0000 0.0000 0.5000 (multiplicity 1)  2 Mo 2.41
Pd 0.5000 0.5000 0.5000 (multiplicity 1)  8 Br 3.46, 4 As 3.51
Br 0.0000 0.5000 0.0000 (multiplicity 2)  2 Mo 2.48

Summary:
Formation energy (no corrections), eV/atom: 0.6683
Mass density, g cm⁻³: 6.1
Crystal system: tetragonal
Final energy, eV for the cell shown: -23.2

***

[3]
Fe3C: optimized geometry, GGA-PBEsol.

Unit cell a=4.9372 b=6.6697 c=4.3733 alpha=90.00 beta=90.00 gamma=90.00
Closest atoms and distances in Å follow each position.
Space group Pnma (No. 62)
Asymmetric unit:
Fe 0.0364 0.2500 0.1612 (multiplicity 4)  2 C 1.93-1.97
Fe 0.1792 0.0680 0.6675 (multiplicity 8)  2 C 1.95-1.96
C 0.1197 0.7500 0.4333 (multiplicity 4)  6 Fe 1.93-1.97

Summary:
Mass density, g cm⁻³: 8.3
Crystal system: orthorhombic
Energy of formation, kJ/mol of atoms: -2.1
Final energy, eV for the cell shown: -146.5

***

[4]
V2CoO6: optimized geometry, GGA-PBEsol.

Unit cell a=9.3693 b=3.3983 c=6.7309 alpha=90.00 beta=108.72 gamma=90.00
Closest atoms and distances in Å follow each position.
Space group C2/m (No. 12)
Asymmetric unit:
V 0.2074 0.0000 0.1720 (multiplicity 4)  4 O 1.68-1.84
Co 0.0000 0.0000 0.5000 (multiplicity 2)  2 O 1.87
O 0.0583 0.0000 0.2595 (multiplicity 4)  1 V 1.68, 1 Co 1.87
O 0.1383 0.5000 0.6144 (multiplicity 4)  1 V 1.68
O 0.1899 0.5000 0.0633 (multiplicity 4)  2 V 1.84

Summary:
Formation energy (no corrections), eV/atom: -1.9413
Mass density, g cm⁻³: 4.2
Crystal system: monoclinic
Final energy, eV for the cell shown: -151.9

***

[5]
LaSbRh: optimized geometry, GGA-PBEsol.

Unit cell a=7.4688 b=4.6418 c=7.8202 alpha=90.00 beta=90.00 gamma=90.00
Closest atoms and distances in Å follow each position.
Space group Pnma (No. 62)
Asymmetric unit:
La 0.0174 0.2500 0.1939 (multiplicity 4)  3 Rh 3.06-3.18, 6 Sb 3.24-3.35
Sb 0.1807 0.2500 0.5881 (multiplicity 4)  4 Rh 2.69-2.81
Rh 0.1959 0.7500 0.4136 (multiplicity 4)  4 Sb 2.69-2.81

Summary:
Formation energy (no corrections), eV/atom: -1.0057
Mass density, g cm⁻³: 8.9
Crystal system: orthorhombic
Final energy, eV for the cell shown: -84.2

***

[6]
Zr3ZnPb: optimized geometry, GGA-PBEsol.

Unit cell a=5.2911 b=5.2911 c=5.2911 alpha=90.00 beta=90.00 gamma=90.00
Closest atoms and distances in Å follow each position.
Space group Pm-3m (No. 221)
Asymmetric unit:
Zr 0.0000 0.0000 0.5000 (multiplicity 3)  2 Pb 2.65
Zn 0.5000 0.5000 0.5000 (multiplicity 1)  12 Zr 3.74
Pb 0.0000 0.0000 0.0000 (multiplicity 1)  6 Zr 2.65

Summary:
Mass density, g cm⁻³: 6.1
Crystal system: cubic
Energy of formation, kJ/mol of atoms: 118.7
Final energy, eV for the cell shown: -26.7

***

[7]
CsGa2Sn2: optimized geometry, GGA-PBEsol.

Unit cell a=5.0252 b=5.0252 c=11.0613 alpha=90.00 beta=90.00 gamma=90.00
Closest atoms and distances in Å follow each position.
Space group I4/mmm (No. 139)
Asymmetric unit:
Cs 0.0000 0.0000 0.0000 (multiplicity 2)  8 Ga 3.74, 10 Sn 3.84-4.07
Ga 0.0000 0.5000 0.2500 (multiplicity 4)  4 Sn 2.83
Sn 0.0000 0.0000 0.3676 (multiplicity 4)  4 Ga 2.83, 1 Sn 2.93

Summary:
Mass density, g cm⁻³: 6.1
Crystal system: tetragonal
Energy of formation, kJ/mol of atoms: -17.5
Final energy, eV for the cell shown: -34.1

***

[8]
CdHgBr: optimized geometry, GGA-PBEsol.

Unit cell a=4.3933 b=5.6653 c=12.0585 alpha=90.00 beta=90.00 gamma=90.00
Closest atoms and distances in Å follow each position.
Space group Fmm2 (No. 42)
Asymmetric unit:
Cd 0.0000 0.0000 0.0000 (multiplicity 4)  2 Hg 2.84, 2 Br 2.87
Hg 0.0000 0.0000 0.3501 (multiplicity 4)  2 Cd 2.84
Br 0.0000 0.0000 0.6526 (multiplicity 4)  2 Cd 2.87

Summary:
Formation energy (no corrections), eV/atom: -0.1849
Mass density, g cm⁻³: 8.7
Crystal system: orthorhombic
Final energy, eV for the cell shown: -16.8

***

[9]
TcTeRh2: optimized geometry, GGA-PBEsol.

Unit cell a=4.6786 b=4.6786 c=2.8587 alpha=90.00 beta=90.00 gamma=90.00
Closest atoms and distances in Å follow each position.
Space group P4/mmm (No. 123)
Asymmetric unit:
Tc 0.0000 0.0000 0.0000 (multiplicity 1)  8 Rh 2.74, 2 Tc 2.86
Te 0.5000 0.5000 0.0000 (multiplicity 1)  8 Rh 2.74, 2 Te 2.86
Rh 0.0000 0.5000 0.5000 (multiplicity 2)  4 Tc 2.74, 4 Te 2.74, 2 Rh 2.86

Summary:
Formation energy (no corrections), eV/atom: 0.3503
Mass density, g cm⁻³: 11.4
Crystal system: tetragonal
Final energy, eV for the cell shown: -29.7

***

[10]
KH2N: optimized geometry, GGA-PBEsol.

Unit cell a=4.5127 b=3.7145 c=6.1185 alpha=90.00 beta=96.72 gamma=90.00
Closest atoms and distances in Å follow each position.
Space group P2_1/m (No. 11)
Asymmetric unit:
K 0.2186 0.2500 0.3110 (multiplicity 2)  6 H 2.74-2.86, 5 N 2.77-2.99
H 0.3117 0.0358 0.8753 (multiplicity 4)  1 N 1.04
N 0.2838 0.2500 0.7665 (multiplicity 2)  2 H 1.04

Summary:
Mass density, g cm⁻³: 1.8
Crystal system: monoclinic
Final energy, eV for the cell shown: -35.7

***

[11]
KYAg: optimized geometry, GGA-PBEsol.

Unit cell a=3.7440 b=3.7440 c=8.2407 alpha=90.00 beta=90.00 gamma=120.00
Closest atoms and distances in Å follow each position.
Space group P3m1 (No. 156)
Asymmetric unit:
K 0.0000 0.0000 0.0000 (multiplicity 1)  3 Ag 3.43, 6 K 3.74
Y 0.3333 0.6667 0.5590 (multiplicity 1)  3 Ag 2.90
Ag 0.6667 0.3333 0.3239 (multiplicity 1)  3 Y 2.90

Summary:
Mass density, g cm⁻³: 3.9
Crystal system: trigonal
Energy of formation, kJ/mol of atoms: 24.8
Final energy, eV for the cell shown: -10.5

***

[12]
HgP2Pb: optimized geometry, GGA-PBEsol.

Unit cell a=3.7354 b=3.7354 c=6.1952 alpha=90.00 beta=90.00 gamma=90.00
Closest atoms and distances in Å follow each position.
Space group P4/mmm (No. 123)
Asymmetric unit:
Hg 0.0000 0.0000 0.0000 (multiplicity 1)  8 P 2.86, 2 Pb 3.10
P 0.5000 0.5000 0.1790 (multiplicity 2)  1 P 2.22
Pb 0.0000 0.0000 0.5000 (multiplicity 1)  2 Hg 3.10, 8 P 3.31

Summary:
E above lowest polymorph, meV/atom: 129
Mass density, g cm⁻³: 9.0
Crystal system: tetragonal
Energy of formation, kJ/mol of atoms: 35.0
Final energy, eV for the cell shown: -14.7